Computed, not measured: SrFeO3 after structural relaxation at the PBE+U level of DFT.

Structure (POSCAR):
```
SrFeO3
1.0
4.025 0.000 -0.548
0.000 6.023 0.000
-2.936 0.000 7.837
Sr Fe O
2 2 6
Cartesian
-0.076 1.506 6.280
1.165 4.517 1.010
-0.699 1.506 2.251
1.788 4.517 5.038
3.179 0.091 0.764
-2.090 5.932 6.526
3.179 2.921 0.764
-2.090 3.102 6.526
-0.425 1.506 3.866
1.513 4.517 3.424
```

Summary:
V = 180 Å³ per cell
calculated total energy = -6.006 eV/atom
space-group type = P2_1/m (11)